<P>
A plane-wave DFT calculation with PBE was carried out for an optimized crystal structure of K.

Lattice parameters (Å, degrees): 7.499 7.499 4.451 90.00 90.00 120.00
Sites, in units of the cell vectors:
K (0.000, 0.000, 0.000)
K (0.333, 0.667, 0.500)
K (0.667, 0.333, 0.500)

Computed properties:
For the density of states at the Fermi level, the calculation gives 2.55 states/eV/cell.



<Q>
A plane-wave DFT calculation with PBE was carried out for an optimized crystal structure of K.

Lattice parameters (Å, degrees): 7.340 7.340 4.271 90.00 90.00 120.00
Sites, in units of the cell vectors:
K (0.333, 0.667, 0.000)
K (0.667, 0.333, 0.000)

Computed properties:
For the density of states at the Fermi level, the calculation gives 1.63 states/eV/cell.



<P> is preferred energetically. Next in line: 19.8 kJ/mol of atoms higher.



<P>
A plane-wave DFT calculation with PBE was carried out for an optimized crystal structure of K.

Lattice parameters (Å, degrees): 11.368 11.368 11.368 90.00 90.00 90.00
Sites, in units of the cell vectors:
K (0.047, 0.125, 0.797)
K (0.062, 0.938, 0.438)
K (0.125, 0.797, 0.047)
K (0.188, 0.188, 0.188)
K (0.203, 0.547, 0.375)
K (0.297, 0.453, 0.875)
K (0.312, 0.812, 0.688)
K (0.375, 0.203, 0.547)
K (0.438, 0.062, 0.938)
K (0.453, 0.875, 0.297)
K (0.547, 0.375, 0.203)
K (0.562, 0.562, 0.562)
K (0.625, 0.703, 0.953)
K (0.688, 0.312, 0.812)
K (0.703, 0.953, 0.625)
K (0.797, 0.047, 0.125)
K (0.812, 0.688, 0.312)
K (0.875, 0.297, 0.453)
K (0.938, 0.438, 0.062)
K (0.953, 0.625, 0.703)

Computed properties:
For the density of states at the Fermi level, the calculation gives 17.72 states/eV/cell.



<Q>
A plane-wave DFT calculation with PBE was carried out for an optimized crystal structure of K.

Lattice parameters (Å, degrees): 4.537 4.537 4.537 109.47 109.47 109.47
Sites, in units of the cell vectors:
K (0.000, 0.000, 0.000)

Computed properties:
For the density of states at the Fermi level, the calculation gives 0.93 states/eV/cell.



<R>
A plane-wave DFT calculation with PBE was carried out for an optimized crystal structure of K.

Lattice parameters (Å, degrees): 15.263 15.263 4.521 90.00 90.00 120.00
Sites, in units of the cell vectors:
K (0.098, 0.304, 0.250)
K (0.144, 0.604, 0.750)
K (0.206, 0.902, 0.250)
K (0.304, 0.206, 0.750)
K (0.396, 0.540, 0.750)
K (0.460, 0.856, 0.750)
K (0.540, 0.144, 0.250)
K (0.604, 0.460, 0.250)
K (0.696, 0.794, 0.250)
K (0.794, 0.098, 0.750)
K (0.856, 0.396, 0.250)
K (0.902, 0.696, 0.750)

Computed properties:
For the density of states at the Fermi level, the calculation gives 10.63 states/eV/cell.



<S>
A plane-wave DFT calculation with PBE was carried out for an optimized crystal structure of K.

Lattice parameters (Å, degrees): 4.245 4.245 4.245 90.00 90.00 90.00
Sites, in units of the cell vectors:
K (0.000, 0.000, 0.000)

Computed properties:
For the density of states at the Fermi level, the calculation gives 0.67 states/eV/cell.



<Q> is preferred energetically. Next in line: 0.9 kJ/mol of atoms higher.



<P>
A plane-wave DFT calculation with PBE was carried out for an optimized crystal structure of K.

Lattice parameters (Å, degrees): 4.707 4.707 11.621 101.70 101.70 59.62
Sites, in units of the cell vectors:
K (0.000, 0.000, 0.000)
K (0.222, 0.222, 0.667)
K (0.778, 0.778, 0.333)

Computed properties:
For the density of states at the Fermi level, the calculation gives 2.70 states/eV/cell.



<Q>
A plane-wave DFT calculation with PBE was carried out for an optimized crystal structure of K.

Lattice parameters (Å, degrees): 11.539 8.478 8.446 85.96 47.13 46.90
Sites, in units of the cell vectors:
K (0.005, 0.745, 0.005)
K (0.255, 0.995, 0.255)
K (0.745, 0.005, 0.745)
K (0.995, 0.255, 0.995)

Computed properties:
For the density of states at the Fermi level, the calculation gives 3.05 states/eV/cell.



<P> is preferred energetically. Next in line: 6.1 kJ/mol of atoms higher.